The following is a DFT calculation (PBE-GGA) of an optimized crystal structure of Gd2ErMg3TlGa2.

Calculated values
Final energy: -30.908 eV for the cell shown

The structure in POSCAR format:
```
Gd2ErMg3TlGa2
1.0
4.5629 0.0000 0.0000
0.0000 6.3428 3.6858
0.0000 -6.3428 3.6858
Gd Er Mg Tl Ga
2 1 3 1 2
direct
0.0000 0.2185 0.7815
0.0000 0.7815 0.2185
0.0000 0.3446 0.3446
0.5000 0.0312 0.0312
0.5000 0.5310 0.7805
0.5000 0.7805 0.5310
0.0000 0.7782 0.7782
0.5000 0.1161 0.4466
0.5000 0.4466 0.1161
```